[1]
# LaErAgOs

A relaxed LaErAgOs crystal (PBE-GGA, Alexandria via LeMat-Bulk).

Computed properties:
As for the space-group type: No. 216. The calculation puts the total energy at -6.06 eV per atom. As for the crystal system: cubic. For the formation energy, the calculation gives -0.1699 eV/atom.

abc: 5.0529 5.0529 5.0529
angles: 60.00 60.00 60.00
Closest atoms and distances in Å follow each position.
Atoms (fractional coordinates):
La1 0.0000 0.0000 0.0000  4 Ag 3.09, 4 Os 3.09
Er1 0.5000 0.5000 0.5000  4 Os 3.09, 4 Ag 3.09
Ag1 0.7500 0.7500 0.7500  4 La 3.09, 4 Er 3.09
Os1 0.2500 0.2500 0.2500  4 La 3.09, 4 Er 3.09

---

[2]
# LaEr2Ag2Pb2

A relaxed LaEr2Ag2Pb2 crystal (PBE-GGA, Alexandria via LeMat-Bulk).

Computed properties:
As for the space-group type: No. 166. The calculation puts the total energy at -4.23 eV per atom. As for the crystal system: trigonal. For the formation energy, the calculation gives -0.3489 eV/atom.

abc: 9.2917 9.2917 9.2917
angles: 30.94 30.94 30.94
Closest atoms and distances in Å follow each position.
Atoms (fractional coordinates):
La1 0.0000 0.0000 0.0000  6 Pb 3.41, 2 Er 3.58
Er1 0.1349 0.1349 0.1349  3 Ag 2.93
Er2 0.8651 0.8651 0.8651  3 Ag 2.93
Ag1 0.4440 0.4440 0.4440  3 Er 2.93, 1 Ag 2.97, 3 Pb 3.06
Ag2 0.5560 0.5560 0.5560  3 Er 2.93, 1 Ag 2.97, 3 Pb 3.06
Pb1 0.2632 0.2632 0.2632  3 Ag 3.06, 4 Er 3.34-3.40, 3 La 3.41
Pb2 0.7368 0.7368 0.7368  3 Ag 3.06, 4 Er 3.34-3.40, 3 La 3.41

---

[3]
# LaPmErAg

A relaxed LaPmErAg crystal (PBE-GGA, Alexandria via LeMat-Bulk).

Computed properties:
As for the space-group type: No. 216. The calculation puts the total energy at -4.18 eV per atom. As for the relative energy among the computed polymorphs: 0.87 eV per formula unit. As for the crystal system: cubic. For the formation energy, the calculation gives 0.0970 eV/atom.

abc: 5.4630 5.4630 5.4630
angles: 60.00 60.00 60.00
Closest atoms and distances in Å follow each position.
Atoms (fractional coordinates):
La1 0.0000 0.0000 0.0000  4 Ag 3.35, 4 Pm 3.35
Pm1 0.2500 0.2500 0.2500  4 Er 3.35, 4 La 3.35
Er1 0.5000 0.5000 0.5000  4 Pm 3.35, 4 Ag 3.35
Ag1 0.7500 0.7500 0.7500  4 Er 3.35, 4 La 3.35

---

Please write out number 3 again, unchanged.
# LaPmErAg

A relaxed LaPmErAg crystal (PBE-GGA, Alexandria via LeMat-Bulk).

Computed properties:
As for the space-group type: No. 216. The calculation puts the total energy at -4.18 eV per atom. As for the relative energy among the computed polymorphs: 0.87 eV per formula unit. As for the crystal system: cubic. For the formation energy, the calculation gives 0.0970 eV/atom.

abc: 5.4630 5.4630 5.4630
angles: 60.00 60.00 60.00
Closest atoms and distances in Å follow each position.
Atoms (fractional coordinates):
La1 0.0000 0.0000 0.0000  4 Ag 3.35, 4 Pm 3.35
Pm1 0.2500 0.2500 0.2500  4 Er 3.35, 4 La 3.35
Er1 0.5000 0.5000 0.5000  4 Pm 3.35, 4 Ag 3.35
Ag1 0.7500 0.7500 0.7500  4 Er 3.35, 4 La 3.35

---

Copy entry 2 word for word.
# LaEr2Ag2Pb2

A relaxed LaEr2Ag2Pb2 crystal (PBE-GGA, Alexandria via LeMat-Bulk).

Computed properties:
As for the space-group type: No. 166. The calculation puts the total energy at -4.23 eV per atom. As for the crystal system: trigonal. For the formation energy, the calculation gives -0.3489 eV/atom.

abc: 9.2917 9.2917 9.2917
angles: 30.94 30.94 30.94
Closest atoms and distances in Å follow each position.
Atoms (fractional coordinates):
La1 0.0000 0.0000 0.0000  6 Pb 3.41, 2 Er 3.58
Er1 0.1349 0.1349 0.1349  3 Ag 2.93
Er2 0.8651 0.8651 0.8651  3 Ag 2.93
Ag1 0.4440 0.4440 0.4440  3 Er 2.93, 1 Ag 2.97, 3 Pb 3.06
Ag2 0.5560 0.5560 0.5560  3 Er 2.93, 1 Ag 2.97, 3 Pb 3.06
Pb1 0.2632 0.2632 0.2632  3 Ag 3.06, 4 Er 3.34-3.40, 3 La 3.41
Pb2 0.7368 0.7368 0.7368  3 Ag 3.06, 4 Er 3.34-3.40, 3 La 3.41